1.
# PuSc4, relaxed, DFT PBE
# Total magnetic moment, μB/atom: 1.182
# DFT formation energy, meV per atom: 47
# SG: C2/m, No. 12
# Offset from the most stable computed form, meV per atom: 0
# ρ, g/cm3: 5.72
# Crystal system: monoclinic
# Total energy, hartree per atom: -0.2898
data_PuSc4
_space_group_name_H-M_alt 'P 1'
_space_group_IT_number 1
_cell_length_a 3.301
_cell_length_b 3.301
_cell_length_c 13.164
_cell_angle_alpha 97.22
_cell_angle_beta 97.22
_cell_angle_gamma 60.05
loop_
_space_group_symop_operation_xyz
'x,y,z'
loop_
_atom_site_label
_atom_site_type_symbol
_atom_site_fract_x
_atom_site_fract_y
_atom_site_fract_z
_atom_site_occupancy
Pu1 Pu 0.000 0.000 0.000 1
Sc1 Sc 0.133 0.133 0.401 1
Sc2 Sc 0.267 0.267 0.798 1
Sc3 Sc 0.733 0.733 0.202 1
Sc4 Sc 0.867 0.867 0.599 1

---

2.
# CdSiRhCl, relaxed, DFT PBE
# Total magnetic moment, μB/atom: 0.000
# Formation energy without anion corrections, eV per atom: -0.341
# SG: P1, No. 1
# Offset from the most stable computed form, meV per atom: 189
# ρ, g/cm3: 5.41
# Crystal system: triclinic
# Total energy, hartree per atom: -0.1553
data_CdSiRhCl
_space_group_name_H-M_alt 'P 1'
_space_group_IT_number 1
_cell_length_a 3.450
_cell_length_b 4.042
_cell_length_c 6.761
_cell_angle_alpha 102.02
_cell_angle_beta 96.29
_cell_angle_gamma 108.97
loop_
_space_group_symop_operation_xyz
'x,y,z'
loop_
_atom_site_label
_atom_site_type_symbol
_atom_site_fract_x
_atom_site_fract_y
_atom_site_fract_z
_atom_site_occupancy
Cd1 Cd 0.000 0.000 0.000 1
Si1 Si 0.331 0.659 0.309 1
Rh1 Rh 0.683 0.277 0.336 1
Cl1 Cl 0.798 0.383 0.729 1

---

3.
# Ac2Tb3Pm, relaxed, DFT PBE
# Total magnetic moment, μB/atom: 0.000
# DFT formation energy, meV per atom: 50
# SG: P-1, No. 2
# ρ, g/cm3: 8.16
# Crystal system: triclinic
# Total energy, hartree per atom: -0.1627
data_Ac2Tb3Pm
_space_group_name_H-M_alt 'P 1'
_space_group_IT_number 1
_cell_length_a 5.276
_cell_length_b 8.332
_cell_length_c 11.144
_cell_angle_alpha 72.50
_cell_angle_beta 76.33
_cell_angle_gamma 71.60
loop_
_space_group_symop_operation_xyz
'x,y,z'
loop_
_atom_site_label
_atom_site_type_symbol
_atom_site_fract_x
_atom_site_fract_y
_atom_site_fract_z
_atom_site_occupancy
Ac1 Ac 0.035 0.295 0.136 1
Ac2 Ac 0.291 0.052 0.865 1
Ac3 Ac 0.709 0.948 0.135 1
Ac4 Ac 0.965 0.705 0.864 1
Tb1 Tb 0.123 0.869 0.386 1
Tb2 Tb 0.211 0.462 0.615 1
Tb3 Tb 0.452 0.208 0.387 1
Tb4 Tb 0.548 0.792 0.613 1
Tb5 Tb 0.789 0.538 0.385 1
Tb6 Tb 0.877 0.131 0.614 1
Pm1 Pm 0.372 0.622 0.135 1
Pm2 Pm 0.628 0.378 0.865 1

---

4.
# LiPm2NpS6, relaxed, DFT PBE
# Total magnetic moment, μB/atom: 0.200
# Formation energy without anion corrections, eV per atom: -1.605
# SG: P2_1/c, No. 14
# ρ, g/cm3: 5.31
# Crystal system: monoclinic
# Total energy, hartree per atom: -0.2395
data_LiPm2NpS6
_space_group_name_H-M_alt 'P 1'
_space_group_IT_number 1
_cell_length_a 6.557
_cell_length_b 7.187
_cell_length_c 11.328
_cell_angle_alpha 90.00
_cell_angle_beta 121.60
_cell_angle_gamma 90.00
loop_
_space_group_symop_operation_xyz
'x,y,z'
loop_
_atom_site_label
_atom_site_type_symbol
_atom_site_fract_x
_atom_site_fract_y
_atom_site_fract_z
_atom_site_occupancy
Li1 Li 0.000 0.000 0.000 1
Li2 Li 0.000 0.500 0.500 1
Pm1 Pm 0.196 0.098 0.739 1
Pm2 Pm 0.196 0.402 0.239 1
Pm3 Pm 0.804 0.598 0.761 1
Pm4 Pm 0.804 0.902 0.261 1
Np1 Np 0.500 0.000 0.500 1
Np2 Np 0.500 0.500 0.000 1
S1 S 0.120 0.186 0.439 1
S2 S 0.120 0.314 0.939 1
S3 S 0.249 0.691 0.426 1
S4 S 0.249 0.809 0.926 1
S5 S 0.393 0.048 0.249 1
S6 S 0.393 0.452 0.749 1
S7 S 0.607 0.548 0.251 1
S8 S 0.607 0.952 0.751 1
S9 S 0.751 0.191 0.074 1
S10 S 0.751 0.309 0.574 1
S11 S 0.880 0.686 0.061 1
S12 S 0.880 0.814 0.561 1